1.
LaHoBi | PBE-GGA | optimized geometry

Output
formation energy = -0.36 eV/atom

abc: 5.3046 5.3046 5.3046
angles: 60.00 60.00 60.00
Closest atoms and distances in Å follow each position.
Positions (direct):
La 0.0000 0.0000 0.0000  4 Bi 3.25
Ho 0.5000 0.5000 0.5000  4 Bi 3.25
Bi 0.2500 0.2500 0.2500  4 La 3.25, 4 Ho 3.25

2.
Li3Ac2Cu2 | PBE-GGA | optimized geometry

Output
formation energy = -0.03 eV/atom

abc: 11.1059 11.1059 4.0454
angles: 90.00 90.00 158.09
Closest atoms and distances in Å follow each position.
Positions (direct):
Li 0.0000 0.0000 0.0000  8 Li 3.26, 2 Ac 3.63
Li 0.4336 0.5664 0.5000  1 Li 2.90
Li 0.5664 0.4336 0.5000  1 Li 2.90
Ac 0.1666 0.8334 0.0000  6 Cu 3.12-3.25
Ac 0.8334 0.1666 0.0000  6 Cu 3.12-3.25
Cu 0.2833 0.7167 0.5000  2 Cu 2.56
Cu 0.7167 0.2833 0.5000  2 Cu 2.56

3.
Rb2BrF | PBE-GGA | optimized geometry

Output
energy above the lowest structure with this stoichiometry = 124.0 meV/atom
ΔE_f (raw) = -2.055 eV per atom

abc: 3.8298 3.8298 7.8099
angles: 90.00 90.00 90.00
Closest atoms and distances in Å follow each position.
Positions (direct):
Rb 0.0000 0.0000 0.2189  4 F 3.20, 1 Rb 3.42, 4 Br 3.49
Rb 0.0000 0.0000 0.7811  4 F 3.20, 1 Rb 3.42, 4 Br 3.49
Br 0.5000 0.5000 0.5000  8 Rb 3.49, 4 Br 3.83
F 0.5000 0.5000 0.0000  8 Rb 3.20

What did the second record say?
Li3Ac2Cu2 | PBE-GGA | optimized geometry

Output
formation energy = -0.03 eV/atom

abc: 11.1059 11.1059 4.0454
angles: 90.00 90.00 158.09
Closest atoms and distances in Å follow each position.
Positions (direct):
Li 0.0000 0.0000 0.0000  8 Li 3.26, 2 Ac 3.63
Li 0.4336 0.5664 0.5000  1 Li 2.90
Li 0.5664 0.4336 0.5000  1 Li 2.90
Ac 0.1666 0.8334 0.0000  6 Cu 3.12-3.25
Ac 0.8334 0.1666 0.0000  6 Cu 3.12-3.25
Cu 0.2833 0.7167 0.5000  2 Cu 2.56
Cu 0.7167 0.2833 0.5000  2 Cu 2.56